1.
VASP calculation (PBE-GGA) on a relaxed BaAsRu2 crystal.

a b c (Å): 4.310 4.310 6.333
angles (deg): 70.10 70.10 60.00
Atoms (fractional coordinates):
Ba (0.251, 0.251, 0.246)
Ru (0.737, 0.737, 0.790)
As (0.452, 0.452, 0.643)
Ru (0.060, 0.060, 0.820)



2.
VASP calculation (PBE-GGA) on a relaxed BaAsRu2 crystal.

a b c (Å): 3.029 3.715 7.353
angles (deg): 90.00 90.00 90.00
Atoms (fractional coordinates):
As (0.000, 0.000, 0.420)
Ba (0.500, 0.500, 0.754)
Ru (0.500, 0.500, 0.243)
Ru (0.000, 0.000, 0.083)



3.
VASP calculation (PBE-GGA) on a relaxed BaAsRu2 crystal.

a b c (Å): 4.132 3.879 6.023
angles (deg): 82.20 90.00 90.00
Atoms (fractional coordinates):
Ru (0.500, 0.301, 0.190)
Ba (0.500, 0.835, 0.720)
Ru (0.000, 0.951, 0.174)
As (0.000, 0.413, 0.416)



The records above yield magnetic moment values of 0.00, 0.00, 0.71 μB per formula unit, respectively.
The records above yield VASP energy values of -25.85, -24.20, -25.02 eV/cell, respectively.